KNiW2: optimized geometry, PBE.

## Properties
polymorph energy (0 for the lowest one) = 0.924 eV per atom
formation enthalpy at 0 K = 1640 meV/atom
volume = 18.343 Å³ per atom

Unit cell a=3.764 b=3.764 c=5.179 alpha=90.00 beta=90.00 gamma=90.00
Space group P4/mmm (No. 123)
Asymmetric unit:
K (0.000, 0.000, 0.000) x1
Ni (0.500, 0.500, 0.000) x1
W (0.000, 0.500, 0.500) x2

SrAsBr2O: optimized geometry, PBE.

## Properties
polymorph energy (0 for the lowest one) = 0.000 eV per atom
uncorrected formation energy = -458 meV per atom
volume = 22.225 Å³ per atom

Unit cell a=4.954 b=4.954 c=4.529 alpha=90.00 beta=90.00 gamma=90.00
Space group P4/mmm (No. 123)
Asymmetric unit:
Sr (0.000, 0.000, 0.000) x1
As (0.500, 0.500, 0.000) x1
Br (0.000, 0.500, 0.500) x2
O (0.500, 0.500, 0.500) x1

NdZr2CuN4: optimized geometry, PBE.

## Properties
uncorrected formation energy = -1210 meV per atom
volume = 12.885 Å³ per atom

Unit cell a=3.328 b=11.004 c=11.258 alpha=90.00 beta=90.00 gamma=90.00
Space group Cmcm (No. 63)
Asymmetric unit:
Nd (0.000, 0.106, 0.250) x4
Zr (0.000, 0.367, 0.056) x8
Cu (0.000, 0.158, 0.750) x4
N (0.000, 0.000, 0.000) x4
N (0.000, 0.266, 0.609) x8
N (0.000, 0.448, 0.250) x4

CdCoS2Cl: optimized geometry, PBE.

## Properties
polymorph energy (0 for the lowest one) = 0.000 eV per atom
uncorrected formation energy = 47 meV per atom
volume = 19.031 Å³ per atom

Unit cell a=4.476 b=4.476 c=4.749 alpha=90.00 beta=90.00 gamma=90.00
Space group P4/mmm (No. 123)
Asymmetric unit:
Cd (0.000, 0.000, 0.000) x1
Co (0.500, 0.500, 0.500) x1
S (0.000, 0.500, 0.500) x2
Cl (0.500, 0.500, 0.000) x1

Be2FeReS: optimized geometry, PBE.

## Properties
polymorph energy (0 for the lowest one) = 0.151 eV per atom
uncorrected formation energy = 1063 meV per atom
volume = 13.892 Å³ per atom

Unit cell a=3.963 b=3.963 c=4.423 alpha=90.00 beta=90.00 gamma=90.00
Space group P4/mmm (No. 123)
Asymmetric unit:
Be (0.000, 0.500, 0.000) x2
Fe (0.000, 0.000, 0.000) x1
Re (0.000, 0.000, 0.500) x1
S (0.500, 0.500, 0.500) x1

CeDyIrAu: optimized geometry, PBE.

## Properties
formation enthalpy at 0 K = -704 meV/atom
volume = 22.467 Å³ per atom

Unit cell a=7.110 b=7.110 c=7.110 alpha=90.00 beta=90.00 gamma=90.00
Space group F-43m (No. 216)
Asymmetric unit:
Ce (0.000, 0.000, 0.000) x4
Dy (0.000, 0.000, 0.500) x4
Ir (0.250, 0.250, 0.250) x4
Au (0.250, 0.250, 0.750) x4

ZrTcRh: optimized geometry, PBE.

## Properties
polymorph energy (0 for the lowest one) = 0.713 eV per atom
formation enthalpy at 0 K = 515 meV/atom
volume = 19.602 Å³ per atom

Unit cell a=6.173 b=6.173 c=6.173 alpha=90.00 beta=90.00 gamma=90.00
Space group F-43m (No. 216)
Asymmetric unit:
Zr (0.000, 0.000, 0.000) x4
Tc (0.250, 0.250, 0.750) x4
Rh (0.250, 0.250, 0.250) x4

RbZrSi: optimized geometry, PBE.

## Properties
polymorph energy (0 for the lowest one) = 0.165 eV per atom
uncorrected formation energy = -107 meV per atom
volume = 37.255 Å³ per atom

Unit cell a=3.961 b=5.081 c=12.067 alpha=92.03 beta=90.32 gamma=112.89
Space group P-1 (No. 2)
Asymmetric unit:
Rb (0.136, 0.282, 0.181) x2
Zr (0.141, 0.280, 0.567) x2
Si (0.436, 0.869, 0.586) x2

In8Ni: optimized geometry, PBE.

## Properties
formation enthalpy at 0 K = 112 meV/atom
volume = 24.687 Å³ per atom

Unit cell a=9.819 b=9.819 c=4.609 alpha=90.00 beta=90.00 gamma=90.00
Space group I4/mmm (No. 139)
Asymmetric unit:
In (0.000, 0.317, 0.000) x8
In (0.155, 0.155, 0.500) x8
Ni (0.000, 0.000, 0.000) x2

Sc2Ir2O7: optimized geometry, PBE.

## Properties
uncorrected formation energy = -1944 meV per atom
volume = 11.198 Å³ per atom

Unit cell a=9.951 b=9.951 c=9.951 alpha=90.00 beta=90.00 gamma=90.00
Space group Fd-3m (No. 227, origin choice 2)
Asymmetric unit:
Sc (0.000, 0.000, 0.000) x16
Ir (0.000, 0.000, 0.500) x16
O (0.095, 0.375, 0.875) x48
O (0.125, 0.125, 0.125) x8

Ba2UCdSe5: optimized geometry, PBE.

## Properties
uncorrected formation energy = -1453 meV per atom
volume = 30.952 Å³ per atom

Unit cell a=4.365 b=18.926 c=13.490 alpha=90.00 beta=90.00 gamma=90.00
Space group Cmc2_1 (No. 36)
Asymmetric unit:
Ba (0.000, 0.111, 0.000) x4
Ba (0.000, 0.127, 0.628) x4
U (0.000, 0.207, 0.330) x4
Cd (0.000, 0.449, 0.760) x4
Se (0.000, 0.058, 0.373) x4
Se (0.000, 0.288, 0.968) x4
Se (0.000, 0.305, 0.688) x4
Se (0.000, 0.354, 0.318) x4
Se (0.000, 0.497, 0.084) x4

CeRh4S8: optimized geometry, PBE.

## Properties
uncorrected formation energy = -726 meV per atom
volume = 19.835 Å³ per atom

Unit cell a=7.2354 b=7.2354 c=17.0626 alpha=90.00 beta=90.00 gamma=120.00
Space group R-3m (No. 166, hexagonal axes)
Asymmetric unit:
Ce (0.0000, 0.0000, 0.0000) x3
Rh (0.0000, 0.0000, 0.5000) x3
Rh (0.0000, 0.5000, 0.5000) x9
S (0.0000, 0.0000, 0.2392) x6
S (0.0042, 0.5021, 0.2347) x18

MgMnOs2: optimized geometry, PBE.

## Properties
formation enthalpy at 0 K = 446 meV/atom
volume = 15.017 Å³ per atom

Unit cell a=2.922 b=4.586 c=8.967 alpha=90.00 beta=90.00 gamma=90.00
Space group Cmm2 (No. 35)
Asymmetric unit:
Mg (0.000, 0.000, 0.000) x2
Mn (0.000, 0.500, 0.263) x2
Os (0.000, 0.000, 0.491) x2
Os (0.000, 0.500, 0.742) x2

CrFe2Mo: optimized geometry, PBE.

## Properties
polymorph energy (0 for the lowest one) = 0.032 eV per atom
formation enthalpy at 0 K = 127 meV/atom
volume = 12.625 Å³ per atom

Unit cell a=2.545 b=4.114 c=4.943 alpha=90.00 beta=102.63 gamma=90.00
Space group P2/m (No. 10)
Asymmetric unit:
Cr (0.000, 0.000, 0.000) x1
Fe (0.242, 0.500, 0.762) x2
Mo (0.500, 0.000, 0.500) x1

K2MoBrCl6: optimized geometry, PBE.

## Properties
uncorrected formation energy = -1200 meV per atom
volume = 36.681 Å³ per atom

Unit cell a=6.662 b=7.254 c=8.829 alpha=71.27 beta=76.95 gamma=65.96
Space group P1 (No. 1)
Asymmetric unit:
K (0.000, 0.000, 0.000) x1
K (0.479, 0.329, 0.603) x1
Mo (0.666, 0.597, 0.111) x1
Br (0.987, 0.291, 0.643) x1
Cl (0.016, 0.554, 0.965) x1
Cl (0.311, 0.641, 0.263) x1
Cl (0.523, 0.952, 0.947) x1
Cl (0.567, 0.489, 0.929) x1
Cl (0.743, 0.723, 0.294) x1
Cl (0.805, 0.252, 0.273) x1

LaPm2Au3: optimized geometry, PBE.

## Properties
polymorph energy (0 for the lowest one) = 0.005 eV per atom
formation enthalpy at 0 K = -780 meV/atom
volume = 25.801 Å³ per atom

Unit cell a=5.280 b=15.848 c=7.400 alpha=90.00 beta=90.00 gamma=90.00
Space group Cmmm (No. 65)
Asymmetric unit:
La (0.000, 0.166, 0.000) x4
Pm (0.000, 0.168, 0.500) x4
Pm (0.000, 0.500, 0.000) x2
Pm (0.000, 0.500, 0.500) x2
Au (0.000, 0.000, 0.256) x4
Au (0.000, 0.336, 0.260) x8

AlCu2Au: optimized geometry, PBE.

## Properties
formation enthalpy at 0 K = -220 meV/atom
volume = 14.158 Å³ per atom

Unit cell a=3.809 b=3.809 c=3.903 alpha=90.00 beta=90.00 gamma=90.00
Space group P4/mmm (No. 123)
Asymmetric unit:
Al (0.000, 0.000, 0.000) x1
Cu (0.000, 0.500, 0.500) x2
Au (0.500, 0.500, 0.000) x1

LaDy3Sc: optimized geometry, PBE.

## Properties
polymorph energy (0 for the lowest one) = 0.077 eV per atom
formation enthalpy at 0 K = 114 meV/atom
volume = 31.637 Å³ per atom

Unit cell a=9.640 b=6.317 c=10.481 alpha=90.00 beta=97.55 gamma=90.00
Space group P2_1/c (No. 14)
Asymmetric unit:
La (0.065, 0.112, 0.343) x4
Dy (0.183, 0.607, 0.466) x4
Dy (0.263, 0.067, 0.664) x4
Dy (0.386, 0.566, 0.750) x4
Sc (0.460, 0.238, 0.977) x4

HfSi3S: optimized geometry, PBE.

## Properties
polymorph energy (0 for the lowest one) = 0.000 eV per atom
uncorrected formation energy = 606 meV per atom
volume = 18.018 Å³ per atom

Unit cell a=4.483 b=4.483 c=4.483 alpha=90.00 beta=90.00 gamma=90.00
Space group Pm-3m (No. 221)
Asymmetric unit:
Hf (0.000, 0.000, 0.000) x1
Si (0.000, 0.500, 0.500) x3
S (0.500, 0.500, 0.500) x1

ScAsP2: optimized geometry, PBE.

## Properties
formation enthalpy at 0 K = 59 meV/atom
volume = 17.649 Å³ per atom

Unit cell a=6.561 b=6.561 c=6.561 alpha=90.00 beta=90.00 gamma=90.00
Space group F-43m (No. 216)
Asymmetric unit:
Sc (0.000, 0.000, 0.000) x4
As (0.250, 0.250, 0.750) x4
P (0.000, 0.000, 0.500) x4
P (0.250, 0.250, 0.250) x4

Mn2AgCl: optimized geometry, PBE.

## Properties
polymorph energy (0 for the lowest one) = 0.252 eV per atom
uncorrected formation energy = 360 meV per atom
volume = 18.458 Å³ per atom

Unit cell a=3.160 b=5.453 c=8.570 alpha=90.00 beta=90.00 gamma=90.00
Space group Immm (No. 71)
Asymmetric unit:
Mn (0.000, 0.000, 0.231) x4
Ag (0.000, 0.500, 0.000) x2
Cl (0.000, 0.500, 0.500) x2

Tl2CdHPd: optimized geometry, PBE.

## Properties
volume = 21.896 Å³ per atom
calculated total energy = -2.7923 eV/atom

Unit cell a=5.650 b=5.650 c=3.430 alpha=90.00 beta=90.00 gamma=90.00
Space group P4/mmm (No. 123)
Asymmetric unit:
Tl (0.000, 0.500, 0.000) x2
Cd (0.000, 0.000, 0.500) x1
H (0.500, 0.500, 0.500) x1
Pd (0.500, 0.500, 0.000) x1

SrSmMg2Au4: optimized geometry, PBE.

## Properties
formation enthalpy at 0 K = -663 meV/atom
volume = 22.836 Å³ per atom

Unit cell a=5.1254 b=5.1254 c=24.0900 alpha=90.00 beta=90.00 gamma=120.00
Space group R-3m (No. 166, hexagonal axes)
Asymmetric unit:
Sr (0.0000, 0.0000, 0.0000) x3
Sm (0.0000, 0.0000, 0.5000) x3
Mg (0.0000, 0.0000, 0.2505) x6
Au (0.0000, 0.0000, 0.1340) x6
Au (0.0000, 0.0000, 0.3750) x6

SmTl2Hg: optimized geometry, PBE.

## Properties
formation enthalpy at 0 K = -130 meV/atom
volume = 27.759 Å³ per atom

Unit cell a=3.932 b=3.932 c=7.180 alpha=90.00 beta=90.00 gamma=90.00
Space group P4/mmm (No. 123)
Asymmetric unit:
Sm (0.000, 0.000, 0.000) x1
Tl (0.500, 0.500, 0.265) x2
Hg (0.000, 0.000, 0.500) x1